4
Lattice="-1.058 -2.492 -0.819 2.959 -0.455 -2.440 2.775 -2.433 3.819" Properties=species:S:1:pos:R:3 comment="Re2POs (PBE, optimized geometry)" final_energy_ev_per_cell=-40.440 e_form_ev_per_atom=0.2739 pbc="T T T"
P 3.116 -3.372 1.351
Re 2.646 -2.319 3.641
Re 1.751 -2.176 -0.527
Os 1.326 -1.162 1.825